Entry from the Alexandria database: a relaxed ScInNiOs crystal (PBE-GGA).

## Properties
Calculated formation energy, eV per atom: -0.18
Crystal system: cubic
Total magnetic moment, μB/f.u.: 0.00

```
data_ScInNiOs
_chemical_formula_sum 'Sc4 In4 Ni4 Os4'
_symmetry_space_group_name_H-M 'F -4 3 m'
_symmetry_Int_Tables_number 216
_symmetry_space_group_name_Hall 'F -4 2 3'
_cell_length_a 6.402
_cell_length_b 6.402
_cell_length_c 6.402
_cell_angle_alpha 90.00
_cell_angle_beta 90.00
_cell_angle_gamma 90.00
loop_
_atom_site_label
_atom_site_fract_x
_atom_site_fract_y
_atom_site_fract_z
Sc1 0.000 0.000 0.000
In1 0.000 0.000 0.500
Ni1 0.250 0.250 0.250
Os1 0.250 0.250 0.750
```

---

Entry from the Alexandria database: a relaxed V2GeRh8 crystal (PBE-GGA).

## Properties
Calculated formation energy, eV per atom: -0.27
Crystal system: orthorhombic
Total magnetic moment, μB/f.u.: 0.00

```
data_V2GeRh8
_chemical_formula_sum 'V4 Ge2 Rh16'
_symmetry_space_group_name_H-M 'I m m m'
_symmetry_Int_Tables_number 71
_symmetry_space_group_name_Hall '-I 2 2'
_cell_length_a 4.263
_cell_length_b 5.627
_cell_length_c 13.238
_cell_angle_alpha 90.00
_cell_angle_beta 90.00
_cell_angle_gamma 90.00
loop_
_atom_site_label
_atom_site_fract_x
_atom_site_fract_y
_atom_site_fract_z
V1 0.000 0.000 0.194
Ge1 0.000 0.000 0.500
Rh1 0.000 0.235 0.000
Rh2 0.000 0.266 0.358
Rh3 0.000 0.500 0.181
```

---

Entry from the Alexandria database: a relaxed YRe3Bi crystal (PBE-GGA).

## Properties
Calculated formation energy, eV per atom: 2.32
Crystal system: cubic
Total magnetic moment, μB/f.u.: 2.24
Polymorph energy (0 for the lowest one), meV per atom: 0.0

```
data_YRe3Bi
_chemical_formula_sum 'Y1 Re3 Bi1'
_symmetry_space_group_name_H-M 'P m -3 m'
_symmetry_Int_Tables_number 221
_symmetry_space_group_name_Hall '-P 4 2 3'
_cell_length_a 4.990
_cell_length_b 4.990
_cell_length_c 4.990
_cell_angle_alpha 90.00
_cell_angle_beta 90.00
_cell_angle_gamma 90.00
loop_
_atom_site_label
_atom_site_fract_x
_atom_site_fract_y
_atom_site_fract_z
Y1 0.000 0.000 0.000
Re1 0.000 0.500 0.500
Bi1 0.500 0.500 0.500
```

---

Entry from the Alexandria database: a relaxed LiAc3In3 crystal (PBE-GGA).

## Properties
Calculated formation energy, eV per atom: -0.38
Crystal system: monoclinic
Total magnetic moment, μB/f.u.: 0.00

```
data_LiAc3In3
_chemical_formula_sum 'Li4 Ac12 In12'
_symmetry_space_group_name_H-M 'C 1 2/m 1'
_symmetry_Int_Tables_number 12
_symmetry_space_group_name_Hall '-C 2y'
_cell_length_a 11.958
_cell_length_b 5.061
_cell_length_c 16.513
_cell_angle_alpha 90.00
_cell_angle_beta 110.77
_cell_angle_gamma 90.00
loop_
_atom_site_label
_atom_site_fract_x
_atom_site_fract_y
_atom_site_fract_z
Li1 0.247 0.000 0.404
Ac1 0.044 0.500 0.384
Ac2 0.098 0.500 0.921
Ac3 0.249 0.000 0.773
In1 0.045 0.000 0.235
In2 0.114 0.000 0.076
In3 0.132 0.000 0.547
```

---

Entry from the Alexandria database: a relaxed Na4Cd4Ga crystal (PBE-GGA).

## Properties
Calculated formation energy, eV per atom: 0.03
Crystal system: tetragonal
Total magnetic moment, μB/f.u.: 0.00

```
data_Na4Cd4Ga
_chemical_formula_sum 'Na8 Cd8 Ga2'
_symmetry_space_group_name_H-M 'I -4 2 m'
_symmetry_Int_Tables_number 121
_symmetry_space_group_name_Hall 'I -4 2'
_cell_length_a 5.882
_cell_length_b 5.882
_cell_length_c 13.628
_cell_angle_alpha 90.00
_cell_angle_beta 90.00
_cell_angle_gamma 90.00
loop_
_atom_site_label
_atom_site_fract_x
_atom_site_fract_y
_atom_site_fract_z
Na1 0.192 0.192 0.093
Cd1 0.194 0.194 0.316
Ga1 0.000 0.000 0.500
```

---

Entry from the Alexandria database: a relaxed AcMgInHg crystal (PBE-GGA).

## Properties
Calculated formation energy, eV per atom: -0.39
Crystal system: cubic
Total magnetic moment, μB/f.u.: 0.00

```
data_AcMgInHg
_chemical_formula_sum 'Ac4 Mg4 In4 Hg4'
_symmetry_space_group_name_H-M 'F -4 3 m'
_symmetry_Int_Tables_number 216
_symmetry_space_group_name_Hall 'F -4 2 3'
_cell_length_a 7.703
_cell_length_b 7.703
_cell_length_c 7.703
_cell_angle_alpha 90.00
_cell_angle_beta 90.00
_cell_angle_gamma 90.00
loop_
_atom_site_label
_atom_site_fract_x
_atom_site_fract_y
_atom_site_fract_z
Ac1 0.000 0.000 0.000
Mg1 0.000 0.000 0.500
In1 0.250 0.250 0.750
Hg1 0.250 0.250 0.250
```

---

Entry from the Alexandria database: a relaxed NaSnPb crystal (PBE-GGA).

## Properties
Calculated formation energy, eV per atom: -0.09
Crystal system: tetragonal
Total magnetic moment, μB/f.u.: 0.00
Polymorph energy (0 for the lowest one), meV per atom: 32.3

```
data_NaSnPb
_chemical_formula_sum 'Na2 Sn2 Pb2'
_symmetry_space_group_name_H-M 'I 4 m m'
_symmetry_Int_Tables_number 107
_symmetry_space_group_name_Hall 'I 4 -2'
_cell_length_a 4.097
_cell_length_b 4.097
_cell_length_c 10.407
_cell_angle_alpha 90.00
_cell_angle_beta 90.00
_cell_angle_gamma 90.00
loop_
_atom_site_label
_atom_site_fract_x
_atom_site_fract_y
_atom_site_fract_z
Na1 0.000 0.000 0.000
Sn1 0.000 0.000 0.675
Pb1 0.000 0.000 0.320
```

---

Entry from the Alexandria database: a relaxed PrTm2Be crystal (PBE-GGA).

## Properties
Calculated formation energy, eV per atom: 0.71
Crystal system: trigonal
Total magnetic moment, μB/f.u.: 0.00
Polymorph energy (0 for the lowest one), meV per atom: 656.5

```
data_PrTm2Be
_chemical_formula_sum 'Pr3 Tm6 Be3'
_symmetry_space_group_name_H-M 'R -3 m'
_symmetry_Int_Tables_number 166
_symmetry_space_group_name_Hall '-R 3 2"'
_cell_length_a 3.4603
_cell_length_b 3.4603
_cell_length_c 34.1080
_cell_angle_alpha 90.00
_cell_angle_beta 90.00
_cell_angle_gamma 120.00
loop_
_atom_site_label
_atom_site_fract_x
_atom_site_fract_y
_atom_site_fract_z
Pr1 0.0000 0.0000 0.0000
Tm1 0.0000 0.0000 0.4169
Be1 0.0000 0.0000 0.5000
```